Entry 1:
InRhCl3 | the Alexandria database | PBE-GGA | relaxed; energy above the lowest structure with this stoichiometry = 0.000 eV per atom; formation energy from raw total energies = -0.4927 eV/atom; calculated density = 4.59 Mg/m³; crystal system = cubic; final energy = -3.619 eV per atom; space group = No. 221
1.0
4.894 0.000 0.000
0.000 4.894 0.000
0.000 0.000 4.894
Cl In Rh
3 1 1
Direct
0.500 0.000 0.000
0.000 0.000 0.500
0.000 0.500 0.000
0.500 0.500 0.500
0.000 0.000 0.000

Entry 2:
InRh2Cl | the Alexandria database | PBE-GGA | relaxed; energy above the lowest structure with this stoichiometry = 0.272 eV per atom; formation energy from raw total energies = 0.2449 eV/atom; calculated density = 7.39 Mg/m³; crystal system = tetragonal; final energy = -4.577 eV per atom; space group = No. 122
1.0
4.551 0.000 0.000
0.000 4.551 0.000
2.275 2.275 7.723
In Rh Cl
2 4 2
Direct
0.000 0.000 0.000
0.750 0.250 0.500
0.535 0.125 0.250
0.215 0.625 0.250
0.375 0.465 0.750
0.875 0.785 0.750
0.250 0.750 0.500
0.500 0.500 0.000

Entry 3:
InRh2Cl | the Alexandria database | PBE-GGA | relaxed; energy above the lowest structure with this stoichiometry = 0.103 eV per atom; formation energy from raw total energies = 0.0752 eV/atom; calculated density = 8.76 Mg/m³; crystal system = trigonal; final energy = -4.747 eV per atom; space group = No. 166
1.0
8.270 -0.003 -0.002
7.687 3.049 -0.002
7.687 1.467 2.673
Rh In Cl
2 1 1
Direct
0.502 0.502 0.502
0.998 0.998 0.998
0.750 0.750 0.750
0.250 0.250 0.250

Entry 4:
InRh2Cl | the Alexandria database | PBE-GGA | relaxed; energy above the lowest structure with this stoichiometry = 0.155 eV per atom; formation energy from raw total energies = 0.1280 eV/atom; calculated density = 8.45 Mg/m³; crystal system = monoclinic; final energy = -4.694 eV per atom; space group = No. 8
1.0
-1.757 0.184 -5.199
1.081 -1.008 -5.288
-1.672 -3.988 0.088
Rh Cl In
2 1 1
Direct
0.984 0.984 0.968
0.715 0.715 0.766
0.520 0.520 0.521
0.281 0.281 0.245